Density functional theory data (PBEsol) for a relaxed structure of RbGa3Os.

Cell: 4.8519 4.8519 4.8519 Å, 90.00 90.00 90.00°
Last column: nearest neighbours and their distance in Å.
Positions (direct):
1 Rb 0.0000 0.0000 0.0000  12 Ga 3.43
2 Ga 0.0000 0.5000 0.5000  2 Os 2.43
3 Ga 0.5000 0.0000 0.5000  2 Os 2.43
4 Ga 0.5000 0.5000 0.0000  2 Os 2.43
5 Os 0.5000 0.5000 0.5000  6 Ga 2.43

energy of formation from the pure elements = -0.196 eV/atom
V = 114.2 Å³/cell
theoretical density = 7.0 Mg/m³
N(E_F) = 0.4 states/eV per cell

---

Density functional theory data (PBEsol) for a relaxed structure of GaOs3Rh.

Cell: 4.3883 4.3883 4.3883 Å, 90.00 90.00 90.00°
Last column: nearest neighbours and their distance in Å.
Positions (direct):
1 Ga 0.0000 0.0000 0.0000  6 Os 2.19
2 Os 0.0000 0.0000 0.5000  2 Ga 2.19
3 Os 0.0000 0.5000 0.0000  2 Ga 2.19
4 Os 0.5000 0.0000 0.0000  2 Ga 2.19
5 Rh 0.5000 0.5000 0.5000  12 Os 3.10

energy of formation from the pure elements = 2.135 eV/atom
V = 84.5 Å³/cell
theoretical density = 14.6 Mg/m³
N(E_F) = 6.1 states/eV per cell

---

Density functional theory data (PBEsol) for a relaxed structure of Ga3OsRu.

Cell: 4.5833 4.5833 4.5833 Å, 90.00 90.00 90.00°
Last column: nearest neighbours and their distance in Å.
Positions (direct):
1 Ga 0.0000 0.0000 0.5000  2 Ru 2.29
2 Ga 0.0000 0.5000 0.0000  2 Ru 2.29
3 Ga 0.5000 0.0000 0.0000  2 Ru 2.29
4 Os 0.5000 0.5000 0.5000  12 Ga 3.24
5 Ru 0.0000 0.0000 0.0000  6 Ga 2.29

energy of formation from the pure elements = 1.110 eV/atom
V = 96.3 Å³/cell
theoretical density = 8.6 Mg/m³
N(E_F) = 4.6 states/eV per cell

---

Density functional theory data (PBEsol) for a relaxed structure of Ga3SbOs.

Cell: 5.0502 5.0502 5.0502 Å, 90.00 90.00 90.00°
Last column: nearest neighbours and their distance in Å.
Positions (direct):
1 Ga 0.0000 0.0000 0.5000  2 Sb 2.53
2 Ga 0.0000 0.5000 0.0000  2 Sb 2.53
3 Ga 0.5000 0.0000 0.0000  2 Sb 2.53
4 Sb 0.0000 0.0000 0.0000  6 Ga 2.53
5 Os 0.5000 0.5000 0.5000  12 Ga 3.57

formation energy without anion corrections = 1786 meV per atom
V = 128.8 Å³/cell
theoretical density = 6.7 Mg/m³
N(E_F) = 5.8 states/eV per cell

---

Density functional theory data (PBEsol) for a relaxed structure of GaSb2TeOs.

Cell: 4.9881 4.9881 5.0723 Å, 90.00 90.00 90.00°
Last column: nearest neighbours and their distance in Å.
Positions (direct):
1 Ga 0.0000 0.0000 0.0000  4 Sb 2.49, 2 Te 2.54
2 Sb 0.0000 0.5000 0.0000  2 Ga 2.49
3 Sb 0.5000 0.0000 0.0000  2 Ga 2.49
4 Te 0.0000 0.0000 0.5000  2 Ga 2.54
5 Os 0.5000 0.5000 0.5000  4 Te 3.53, 8 Sb 3.56

formation energy without anion corrections = 1592 meV per atom
V = 126.2 Å³/cell
theoretical density = 8.3 Mg/m³
N(E_F) = 7.0 states/eV per cell

---

Density functional theory data (PBEsol) for a relaxed structure of GaOsSe2.

Cell: 3.6820 3.6820 23.5719 Å, 90.00 90.00 120.00°
Last column: nearest neighbours and their distance in Å.
Positions (direct):
1 Ga 0.0000 0.0000 0.0000  2 Se 2.67
2 Ga 0.3333 0.6667 0.6667  2 Se 2.67
3 Ga 0.6667 0.3333 0.3333  2 Se 2.67
4 Os 0.0000 0.0000 0.5000  6 Se 2.47
5 Os 0.3333 0.6667 0.1667  6 Se 2.47
6 Os 0.6667 0.3333 0.8333  6 Se 2.47
7 Se 0.0000 0.0000 0.1134  3 Os 2.47, 1 Ga 2.67
8 Se 0.0000 0.0000 0.8866  3 Os 2.47, 1 Ga 2.67
9 Se 0.3333 0.6667 0.5533  3 Os 2.47, 1 Ga 2.67
10 Se 0.3333 0.6667 0.7800  3 Os 2.47, 1 Ga 2.67
11 Se 0.6667 0.3333 0.2200  3 Os 2.47, 1 Ga 2.67
12 Se 0.6667 0.3333 0.4467  3 Os 2.47, 1 Ga 2.67

formation energy without anion corrections = 208 meV per atom
V = 276.7 Å³/cell
theoretical density = 7.5 Mg/m³
N(E_F) = 12.4 states/eV per cell

---

Density functional theory data (PBEsol) for a relaxed structure of Ga3OsSe.

Cell: 4.7415 4.7415 4.7415 Å, 90.00 90.00 90.00°
Last column: nearest neighbours and their distance in Å.
Positions (direct):
1 Ga 0.0000 0.0000 0.5000  2 Se 2.37
2 Ga 0.0000 0.5000 0.0000  2 Se 2.37
3 Ga 0.5000 0.0000 0.0000  2 Se 2.37
4 Os 0.5000 0.5000 0.5000  12 Ga 3.35
5 Se 0.0000 0.0000 0.0000  6 Ga 2.37

formation energy without anion corrections = 1426 meV per atom
V = 106.6 Å³/cell
theoretical density = 7.5 Mg/m³
N(E_F) = 3.4 states/eV per cell

---

Density functional theory data (PBEsol) for a relaxed structure of Ga3OsSe.

Cell: 4.7607 4.7607 4.7607 Å, 90.00 90.00 90.00°
Last column: nearest neighbours and their distance in Å.
Positions (direct):
1 Ga 0.0000 0.0000 0.5000  2 Os 2.38
2 Ga 0.0000 0.5000 0.0000  2 Os 2.38
3 Ga 0.5000 0.0000 0.0000  2 Os 2.38
4 Os 0.0000 0.0000 0.0000  6 Ga 2.38
5 Se 0.5000 0.5000 0.5000  12 Ga 3.37

formation energy without anion corrections = 243 meV per atom
V = 107.9 Å³/cell
theoretical density = 7.4 Mg/m³
N(E_F) = 5.6 states/eV per cell